The following is a PBE calculation of a relaxed Li2Zn2PPt4 crystal, from Alexandria via LeMat-Bulk.

**E_form**: -0.399 eV/atom
**Volume**: 15.31 Å³ per atom

Cell: 5.895 5.895 7.928 Å, 90.00 90.00 90.00°
Space group I4/mmm (No. 139)
One atom of each set of equivalent atoms:
Li1 0.000 0.000 0.213 [4 per cell]
Zn1 0.000 0.500 0.250 [4 per cell]
P1 0.000 0.000 0.500 [2 per cell]
Pt1 0.233 0.233 0.000 [8 per cell]